Entry one
Crystalline CsUTa at its relaxed geometry. Source: OQMD, functional PBE-GGA.

Results
Calculated volume: 30.4 Å³ per atom
SG: F-43m, No. 216
Spin magnetization: 3.9 Bohr magnetons per cell

a b c (Å): 5.0514 5.0514 5.0514
angles (deg): 60.00 60.00 60.00
Last column: nearest neighbours and their distance in Å.
Fractional coordinates of all 3 atoms:
U 0.0000 0.0000 0.0000  4 Ta 3.09, 4 Cs 3.09
Cs 0.2500 0.2500 0.2500  4 U 3.09
Ta 0.7500 0.7500 0.7500  4 U 3.09

---

Entry two
Crystalline CsUTa at its relaxed geometry. Source: OQMD, functional PBE-GGA.

Results
Calculated volume: 28.3 Å³ per atom
SG: F-43m, No. 216
Spin magnetization: 4.0 Bohr magnetons per cell

a b c (Å): 4.9309 4.9309 4.9309
angles (deg): 60.00 60.00 60.00
Last column: nearest neighbours and their distance in Å.
Fractional coordinates of all 3 atoms:
Cs 0.0000 0.0000 0.0000  4 U 3.02, 4 Ta 3.02
U 0.2500 0.2500 0.2500  4 Cs 3.02
Ta 0.7500 0.7500 0.7500  4 Cs 3.02

---

Least stable: entry two

---

Entry one
Crystalline CsTaW at its relaxed geometry. Source: OQMD, functional PBE-GGA.

Results
Calculated volume: 24.9 Å³ per atom
SG: F-43m, No. 216
Spin magnetization: 0.0 Bohr magnetons per cell

a b c (Å): 4.7260 4.7260 4.7260
angles (deg): 60.00 60.00 60.00
Last column: nearest neighbours and their distance in Å.
Fractional coordinates of all 3 atoms:
W 0.0000 0.0000 0.0000  4 Ta 2.89, 4 Cs 2.89
Cs 0.2500 0.2500 0.2500  4 W 2.89
Ta 0.7500 0.7500 0.7500  4 W 2.89

---

Entry two
Crystalline CsTaW at its relaxed geometry. Source: OQMD, functional PBE-GGA.

Results
Calculated volume: 23.1 Å³ per atom
SG: F-43m, No. 216
Spin magnetization: 0.4 Bohr magnetons per cell

a b c (Å): 4.6119 4.6119 4.6119
angles (deg): 60.00 60.00 60.00
Last column: nearest neighbours and their distance in Å.
Fractional coordinates of all 3 atoms:
Cs 0.0000 0.0000 0.0000  4 Ta 2.82, 4 W 2.82
Ta 0.2500 0.2500 0.2500  4 Cs 2.82
W 0.7500 0.7500 0.7500  4 Cs 2.82

---

Least stable: entry two

---

Entry one
Crystalline CsTbYTe3 at its relaxed geometry. Source: OQMD, functional PBE-GGA.

Results
Calculated volume: 41.4 Å³ per atom
SG: Cmcm, No. 63
Spin magnetization: 0.0 Bohr magnetons per cell

a b c (Å): 4.7587 9.0858 11.9073
angles (deg): 90.00 90.00 105.18
Last column: nearest neighbours and their distance in Å.
Fractional coordinates of all 12 atoms:
Cs 0.2560 0.5119 0.2500  8 Te 3.95-4.19
Cs 0.7440 0.4881 0.7500  8 Te 3.95-4.19
Te 0.6204 0.2407 0.0401  1 Y 2.92, 2 Tb 3.22
Te 0.0646 0.1292 0.7500  2 Y 2.94, 2 Tb 3.19
Te 0.6204 0.2407 0.4599  1 Y 2.92, 2 Tb 3.22
Te 0.9354 0.8708 0.2500  2 Y 2.94, 2 Tb 3.19
Te 0.3796 0.7593 0.5401  1 Y 2.92, 2 Tb 3.22
Te 0.3796 0.7593 0.9599  1 Y 2.92, 2 Tb 3.22
Tb 0.0000 0.0000 0.0000  6 Te 3.19-3.22
Tb 0.0000 0.0000 0.5000  6 Te 3.19-3.22
Y 0.4657 0.9313 0.7500  4 Te 2.92-2.94
Y 0.5343 0.0687 0.2500  4 Te 2.92-2.94

---

Entry two
Crystalline CsTbYTe3 at its relaxed geometry. Source: OQMD, functional PBE-GGA.

Results
Calculated volume: 41.4 Å³ per atom
SG: Cmcm, No. 63
Spin magnetization: 0.0 Bohr magnetons per cell

a b c (Å): 4.7737 9.0650 11.8918
angles (deg): 90.00 90.00 105.27
Last column: nearest neighbours and their distance in Å.
Fractional coordinates of all 12 atoms:
Te 0.3800 0.7601 0.5390  1 Tb 2.93, 2 Y 3.21
Te 0.0656 0.1312 0.7500  2 Tb 2.95, 2 Y 3.19
Te 0.3800 0.7601 0.9610  1 Tb 2.93, 2 Y 3.21
Te 0.6200 0.2399 0.0390  1 Tb 2.93, 2 Y 3.21
Te 0.9344 0.8688 0.2500  2 Tb 2.95, 2 Y 3.19
Te 0.6200 0.2399 0.4610  1 Tb 2.93, 2 Y 3.21
Tb 0.5336 0.0672 0.2500  4 Te 2.93-2.95
Tb 0.4664 0.9328 0.7500  4 Te 2.93-2.95
Cs 0.2558 0.5116 0.2500  8 Te 3.93-4.20
Cs 0.7442 0.4884 0.7500  8 Te 3.93-4.20
Y 0.0000 0.0000 0.0000  6 Te 3.19-3.21
Y 0.0000 0.0000 0.5000  6 Te 3.19-3.21

---

Least stable: entry two